# 1
First-principles (PBEsol) data for a geometry-optimized SnBiPO2 structure, as listed in Alexandria.

Summary:
- Magnetization: 0.00 μB/cell
- Energy relative to the elements, uncorrected: -0.19 eV per atom
- Density of states at the Fermi level: 1.17 states/eV per cell
- Final energy: -5.16 eV per atom

The structure in POSCAR format:
```
SnBiPO2
1.0
4.207 0.000 0.000
0.000 4.207 0.000
0.000 0.000 5.318
Sn Bi P O
1 1 1 2
Direct
0.000 0.000 0.000
0.500 0.500 0.500
0.500 0.500 0.000
0.000 0.500 0.500
0.500 0.000 0.500
```



# 2
First-principles (PBEsol) data for a geometry-optimized SrBi6P4O20 structure, as listed in Alexandria.

Summary:
- Magnetization: 0.00 μB/cell
- Energy relative to the elements, uncorrected: -1.98 eV per atom
- Density of states at the Fermi level: 0.00 states/eV per cell
- Final energy: -7.01 eV per atom

The structure in POSCAR format:
```
SrBi6P4O20
1.0
6.953 0.000 0.000
-2.849 7.053 0.000
-0.606 -3.103 8.531
Sr Bi P O
1 6 4 20
Direct
0.000 0.000 0.000
0.189 0.698 0.670
0.330 0.128 0.505
0.437 0.790 0.088
0.563 0.210 0.912
0.670 0.872 0.495
0.811 0.302 0.330
0.050 0.270 0.755
0.347 0.400 0.259
0.653 0.600 0.741
0.950 0.730 0.245
0.044 0.789 0.422
0.124 0.831 0.162
0.130 0.260 0.281
0.148 0.503 0.833
0.218 0.181 0.758
0.317 0.909 0.904
0.351 0.328 0.083
0.372 0.622 0.316
0.447 0.973 0.638
0.476 0.619 0.642
0.524 0.381 0.358
0.553 0.027 0.362
0.628 0.378 0.684
0.649 0.672 0.917
0.683 0.091 0.096
0.782 0.819 0.242
0.852 0.497 0.167
0.870 0.740 0.719
0.876 0.169 0.838
0.956 0.211 0.578
```



# 3
First-principles (PBEsol) data for a geometry-optimized Sr4BiP3O13 structure, as listed in Alexandria.

Summary:
- Magnetization: 0.00 μB/cell
- Energy relative to the elements, uncorrected: -2.71 eV per atom
- Density of states at the Fermi level: 0.00 states/eV per cell
- Final energy: -7.35 eV per atom

The structure in POSCAR format:
```
Sr4BiP3O13
1.0
9.598 0.000 0.000
0.000 7.236 0.000
-4.762 0.000 8.478
Sr Bi P O
8 2 6 26
Direct
0.162 0.001 0.325
0.162 0.499 0.325
0.256 0.750 0.982
0.275 0.250 0.764
0.725 0.750 0.236
0.744 0.250 0.018
0.838 0.501 0.675
0.838 0.999 0.675
0.498 0.750 0.759
0.502 0.250 0.241
0.095 0.250 0.964
0.130 0.750 0.595
0.474 0.750 0.363
0.526 0.250 0.637
0.870 0.250 0.405
0.905 0.750 0.036
0.025 0.750 0.674
0.030 0.750 0.413
0.091 0.750 0.116
0.144 0.075 0.905
0.144 0.425 0.905
0.172 0.250 0.146
0.244 0.579 0.648
0.244 0.921 0.648
0.346 0.250 0.515
0.370 0.750 0.445
0.429 0.579 0.252
0.429 0.921 0.252
0.499 0.250 0.029
0.501 0.750 0.971
0.571 0.079 0.748
0.571 0.421 0.748
0.630 0.250 0.555
0.654 0.750 0.485
0.756 0.079 0.352
0.756 0.421 0.352
0.828 0.750 0.854
0.856 0.575 0.095
0.856 0.925 0.095
0.909 0.250 0.884
0.970 0.250 0.587
0.975 0.250 0.326
```



# 4
First-principles (PBEsol) data for a geometry-optimized TaBiP2O structure, as listed in Alexandria.

Summary:
- Magnetization: 1.33 μB/cell
- Energy relative to the elements, uncorrected: 1.12 eV per atom
- Density of states at the Fermi level: 4.52 states/eV per cell
- Final energy: -5.61 eV per atom

The structure in POSCAR format:
```
TaBiP2O
1.0
5.057 0.000 0.000
0.000 5.057 0.000
0.000 0.000 4.019
Ta Bi P O
1 1 2 1
Direct
0.000 0.000 0.000
0.500 0.500 0.500
0.000 0.500 0.500
0.500 0.000 0.500
0.500 0.500 0.000
```



# 5
First-principles (PBEsol) data for a geometry-optimized TiBiP3O12 structure, as listed in Alexandria.

Summary:
- Magnetization: 0.00 μB/cell
- Energy relative to the elements, uncorrected: -2.06 eV per atom
- Final energy: -7.53 eV per atom

The structure in POSCAR format:
```
TiBiP3O12
1.0
4.188 2.418 8.000
-4.188 2.418 8.000
0.000 -4.835 8.000
Ti Bi P O
2 2 6 24
Direct
0.000 0.000 0.000
0.500 0.500 0.500
0.304 0.304 0.304
0.804 0.804 0.804
0.119 0.392 0.695
0.195 0.892 0.619
0.392 0.695 0.119
0.619 0.195 0.892
0.695 0.119 0.392
0.892 0.619 0.195
0.002 0.947 0.616
0.037 0.424 0.282
0.112 0.191 0.834
0.116 0.447 0.502
0.161 0.902 0.794
0.191 0.834 0.112
0.282 0.037 0.424
0.294 0.402 0.661
0.334 0.692 0.612
0.402 0.661 0.294
0.424 0.282 0.037
0.447 0.502 0.116
0.502 0.116 0.447
0.537 0.782 0.924
0.612 0.334 0.691
0.616 0.002 0.947
0.661 0.294 0.402
0.691 0.612 0.334
0.782 0.924 0.537
0.794 0.161 0.902
0.834 0.112 0.192
0.902 0.794 0.161
0.924 0.537 0.782
0.947 0.616 0.002
```



# 6
First-principles (PBEsol) data for a geometry-optimized TiBiP2O structure, as listed in Alexandria.

Summary:
- Magnetization: 0.76 μB/cell
- Energy relative to the elements, uncorrected: 0.71 eV per atom
- Density of states at the Fermi level: 6.17 states/eV per cell
- Final energy: -5.18 eV per atom

The structure in POSCAR format:
```
TiBiP2O
1.0
5.109 0.000 0.000
0.000 5.109 0.000
0.000 0.000 4.093
Ti Bi P O
1 1 2 1
Direct
0.000 0.000 0.000
0.500 0.500 0.500
0.000 0.500 0.500
0.500 0.000 0.500
0.500 0.500 0.000
```



# 7
First-principles (PBEsol) data for a geometry-optimized V3Bi2P6O24 structure, as listed in Alexandria.

Summary:
- Magnetization: 3.00 μB/cell
- Energy relative to the elements, uncorrected: -2.09 eV per atom
- Density of states at the Fermi level: 16.27 states/eV per cell
- Final energy: -7.75 eV per atom

The structure in POSCAR format:
```
V3Bi2P6O24
1.0
4.205 2.427 7.341
-4.205 2.427 7.341
0.000 -4.855 7.341
V Bi P O
3 2 6 24
Direct
0.000 0.000 0.000
0.200 0.200 0.200
0.687 0.687 0.687
0.357 0.357 0.357
0.842 0.842 0.842
0.076 0.823 0.384
0.261 0.613 0.904
0.384 0.076 0.823
0.613 0.904 0.261
0.823 0.384 0.076
0.904 0.261 0.613
0.027 0.086 0.743
0.058 0.304 0.406
0.086 0.743 0.027
0.122 0.976 0.369
0.189 0.646 0.763
0.252 0.958 0.928
0.259 0.657 0.328
0.304 0.406 0.058
0.328 0.259 0.657
0.369 0.122 0.976
0.406 0.058 0.304
0.445 0.660 0.816
0.589 0.934 0.745
0.646 0.763 0.189
0.657 0.328 0.259
0.660 0.816 0.445
0.743 0.027 0.086
0.745 0.589 0.934
0.763 0.189 0.646
0.816 0.445 0.660
0.928 0.252 0.958
0.934 0.745 0.589
0.958 0.928 0.252
0.976 0.369 0.122
```



# 8
First-principles (PBEsol) data for a geometry-optimized BiP2WO structure, as listed in Alexandria.

Summary:
- Magnetization: 0.00 μB/cell
- Energy relative to the elements, uncorrected: -0.35 eV per atom
- Density of states at the Fermi level: 1.95 states/eV per cell
- Final energy: -7.33 eV per atom

The structure in POSCAR format:
```
BiP2WO
1.0
4.877 0.000 0.000
0.000 4.877 0.000
0.000 0.000 3.771
Bi P W O
1 2 1 1
Direct
0.000 0.000 0.000
0.000 0.500 0.500
0.500 0.000 0.500
0.500 0.500 0.500
0.500 0.500 0.000
```



# 9
First-principles (PBEsol) data for a geometry-optimized ZrBiP2O structure, as listed in Alexandria.

Summary:
- Magnetization: 0.00 μB/cell
- Energy relative to the elements, uncorrected: 0.41 eV per atom
- Density of states at the Fermi level: 2.41 states/eV per cell
- Final energy: -5.63 eV per atom

The structure in POSCAR format:
```
ZrBiP2O
1.0
5.067 0.000 0.000
0.000 5.067 0.000
0.000 0.000 4.108
Zr Bi P O
1 1 2 1
Direct
0.000 0.000 0.000
0.500 0.500 0.500
0.000 0.500 0.500
0.500 0.000 0.500
0.500 0.500 0.000
```



# 10
First-principles (PBEsol) data for a geometry-optimized Bi12PbO20 structure, as listed in Alexandria.

Summary:
- Magnetization: 0.00 μB/cell
- Energy relative to the elements, uncorrected: -1.19 eV per atom
- Density of states at the Fermi level: 0.00 states/eV per cell
- Final energy: -6.05 eV per atom

The structure in POSCAR format:
```
Bi12PbO20
1.0
-5.098 5.098 5.098
5.098 -5.098 5.098
5.098 5.098 -5.098
Bi Pb O
12 1 20
Direct
0.147 0.309 0.812
0.161 0.853 0.665
0.188 0.497 0.335
0.309 0.812 0.147
0.335 0.188 0.497
0.497 0.335 0.188
0.503 0.691 0.839
0.665 0.161 0.853
0.691 0.839 0.503
0.812 0.147 0.309
0.839 0.503 0.691
0.853 0.665 0.161
0.000 0.000 0.000
0.000 0.000 0.236
0.000 0.000 0.627
0.000 0.236 0.000
0.000 0.627 0.000
0.118 0.758 0.376
0.236 0.000 0.000
0.242 0.360 0.618
0.258 0.640 0.882
0.360 0.618 0.242
0.373 0.373 0.373
0.376 0.118 0.758
0.382 0.742 0.624
0.618 0.242 0.360
0.624 0.382 0.742
0.627 0.000 0.000
0.640 0.882 0.258
0.742 0.624 0.382
0.758 0.376 0.118
0.764 0.764 0.764
0.882 0.258 0.640
```



# 11
First-principles (PBEsol) data for a geometry-optimized Bi12Pb4O21 structure, as listed in Alexandria.

Summary:
- Magnetization: 0.00 μB/cell
- Energy relative to the elements, uncorrected: -1.13 eV per atom
- Density of states at the Fermi level: 5.51 states/eV per cell
- Final energy: -5.93 eV per atom

The structure in POSCAR format:
```
Bi12Pb4O21
1.0
7.061 0.000 0.000
-3.241 6.609 0.000
-1.667 -1.542 13.713
Bi Pb O
12 4 21
Direct
0.020 0.301 0.069
0.021 0.254 0.540
0.162 0.927 0.192
0.253 0.489 0.326
0.275 0.513 0.795
0.446 0.231 0.972
0.554 0.769 0.028
0.725 0.487 0.205
0.747 0.511 0.674
0.838 0.073 0.808
0.979 0.746 0.460
0.980 0.699 0.931
0.253 0.990 0.706
0.475 0.202 0.441
0.525 0.798 0.559
0.747 0.010 0.294
0.043 0.162 0.199
0.046 0.155 0.689
0.057 0.665 0.629
0.076 0.569 0.201
0.158 0.269 0.890
0.200 0.983 0.033
0.209 0.046 0.533
0.286 0.751 0.422
0.307 0.758 0.899
0.423 0.425 0.088
0.500 0.500 0.500
0.577 0.575 0.912
0.693 0.242 0.101
0.714 0.249 0.578
0.791 0.954 0.467
0.800 0.017 0.967
0.842 0.731 0.110
0.924 0.431 0.799
0.943 0.335 0.371
0.954 0.845 0.311
0.957 0.838 0.801
```



# 12
First-principles (PBEsol) data for a geometry-optimized Bi10Pb6O21 structure, as listed in Alexandria.

Summary:
- Magnetization: 0.00 μB/cell
- Energy relative to the elements, uncorrected: -1.17 eV per atom
- Density of states at the Fermi level: 0.00 states/eV per cell
- Final energy: -5.96 eV per atom

The structure in POSCAR format:
```
Bi10Pb6O21
1.0
7.131 0.000 0.000
-3.504 6.551 0.000
-1.876 -1.843 13.829
Bi Pb O
10 6 21
Direct
0.016 0.326 0.075
0.025 0.244 0.546
0.162 0.937 0.189
0.258 0.516 0.328
0.436 0.226 0.975
0.564 0.774 0.025
0.742 0.484 0.672
0.838 0.063 0.811
0.975 0.756 0.454
0.984 0.674 0.925
0.228 0.980 0.711
0.304 0.518 0.791
0.469 0.200 0.439
0.531 0.800 0.561
0.696 0.482 0.209
0.772 0.020 0.289
0.018 0.919 0.325
0.030 0.673 0.620
0.054 0.186 0.199
0.097 0.599 0.211
0.163 0.260 0.880
0.190 0.960 0.027
0.215 0.054 0.534
0.290 0.766 0.429
0.312 0.754 0.895
0.401 0.414 0.084
0.500 0.500 0.500
0.599 0.586 0.916
0.688 0.246 0.105
0.710 0.234 0.571
0.785 0.946 0.466
0.810 0.040 0.973
0.837 0.740 0.120
0.903 0.401 0.789
0.946 0.814 0.801
0.970 0.327 0.380
0.982 0.081 0.675
```



# 13
First-principles (PBEsol) data for a geometry-optimized Bi12PbO19 structure, as listed in Alexandria.

Summary:
- Magnetization: 0.00 μB/cell
- Energy relative to the elements, uncorrected: -1.20 eV per atom
- Density of states at the Fermi level: 0.00 states/eV per cell
- Final energy: -6.05 eV per atom

The structure in POSCAR format:
```
Bi12PbO19
1.0
7.236 4.178 2.893
-7.236 4.178 2.893
0.000 -8.355 2.893
Bi Pb O
12 1 19
Direct
0.012 0.843 0.145
0.029 0.186 0.506
0.145 0.012 0.843
0.174 0.673 0.482
0.186 0.506 0.029
0.482 0.174 0.673
0.499 0.650 0.851
0.506 0.029 0.186
0.650 0.851 0.499
0.673 0.482 0.174
0.843 0.145 0.012
0.851 0.499 0.650
0.380 0.380 0.380
0.080 0.452 0.688
0.095 0.711 0.969
0.098 0.320 0.331
0.212 0.956 0.569
0.320 0.331 0.098
0.330 0.331 0.709
0.331 0.098 0.320
0.331 0.709 0.330
0.452 0.688 0.080
0.569 0.212 0.956
0.587 0.950 0.707
0.688 0.080 0.452
0.707 0.587 0.950
0.709 0.330 0.331
0.711 0.969 0.095
0.940 0.940 0.940
0.950 0.707 0.587
0.956 0.569 0.212
0.969 0.095 0.711
```



# 14
First-principles (PBEsol) data for a geometry-optimized Sn2BiPbO structure, as listed in Alexandria.

Summary:
- Magnetization: 0.00 μB/cell
- Energy relative to the elements, uncorrected: 0.24 eV per atom
- Density of states at the Fermi level: 2.75 states/eV per cell
- Final energy: -4.17 eV per atom

The structure in POSCAR format:
```
Sn2BiPbO
1.0
5.798 0.000 0.000
0.000 5.798 0.000
0.000 0.000 4.166
Sn Bi Pb O
2 1 1 1
Direct
0.000 0.500 0.000
0.500 0.000 0.000
0.000 0.000 0.500
0.500 0.500 0.000
0.500 0.500 0.500
```